1.
Entry from Alexandria via LeMat-Bulk: a relaxed structure of Sn3Te3Pt2 (PBE).

## Properties
**Fermi-level density of states**: 51.0 states/eV per cell
**ΔE_f (raw)**: -0.395 eV/atom
**Density**: 8.307 g cm⁻³

Cell and atoms, written as CIF:
```
data_Sn3Te3Pt2
_chemical_formula_sum 'Sn36 Te36 Pt24'
_space_group_name_H-M_alt 'R -3'
_space_group_IT_number 148
_space_group_name_Hall '-R 3'
_cell_length_a 13.6510
_cell_length_b 13.6510
_cell_length_c 16.7818
_cell_angle_alpha 90.00
_cell_angle_beta 90.00
_cell_angle_gamma 120.00
loop_
_atom_site_label
_atom_site_type_symbol
_atom_site_fract_x
_atom_site_fract_y
_atom_site_fract_z
Sn1 Sn 0.0067 0.8351 0.3376
Sn2 Sn 0.0591 0.4522 0.6078
Te1 Te 0.0150 0.8349 0.8317
Te2 Te 0.0520 0.4480 0.1011
Pt1 Pt 0.0000 0.0000 0.2541
Pt2 Pt 0.0020 0.5026 0.7486
```

---

2.
Entry from Alexandria via LeMat-Bulk: a relaxed structure of Sn2TePt2 (PBE).

## Properties
**Fermi-level density of states**: 6.6 states/eV per cell
**ΔE_f (raw)**: -0.198 eV/atom
**Density**: 10.744 g cm⁻³
**ΔE to the lowest computed polymorph**: 18 kJ/mol of formula units

Cell and atoms, written as CIF:
```
data_Sn2TePt2
_chemical_formula_sum 'Sn4 Te2 Pt4'
_space_group_name_H-M_alt 'I 4/m m m'
_space_group_IT_number 139
_space_group_name_Hall '-I 4 2'
_cell_length_a 3.927
_cell_length_b 3.927
_cell_length_c 15.139
_cell_angle_alpha 90.00
_cell_angle_beta 90.00
_cell_angle_gamma 90.00
loop_
_atom_site_label
_atom_site_type_symbol
_atom_site_fract_x
_atom_site_fract_y
_atom_site_fract_z
Sn1 Sn 0.000 0.000 0.120
Te1 Te 0.000 0.000 0.500
Pt1 Pt 0.000 0.500 0.250
```

---

3.
Entry from Alexandria via LeMat-Bulk: a relaxed structure of Sn2TePt (PBE).

## Properties
**Fermi-level density of states**: 1.0 states/eV per cell
**ΔE_f (raw)**: -0.175 eV/atom
**Density**: 6.922 g cm⁻³

Cell and atoms, written as CIF:
```
data_Sn2TePt
_chemical_formula_sum 'Sn8 Te4 Pt4'
_space_group_name_H-M_alt 'I -4 2 d'
_space_group_IT_number 122
_space_group_name_Hall 'I -4 2bw'
_cell_length_a 6.581
_cell_length_b 6.581
_cell_length_c 12.409
_cell_angle_alpha 90.00
_cell_angle_beta 90.00
_cell_angle_gamma 90.00
loop_
_atom_site_label
_atom_site_type_symbol
_atom_site_fract_x
_atom_site_fract_y
_atom_site_fract_z
Sn1 Sn 0.193 0.250 0.125
Te1 Te 0.000 0.000 0.500
Pt1 Pt 0.000 0.000 0.000
```